[1]
DFT (PBE-GGA) results for an optimized crystal structure of PaAlSn. Values from VASP.

```
&SYSTEM
  ibrav = 0, nat = 3, ntyp = 3
/
ATOMIC_SPECIES
Al 26.98 Al.upf
Pa 231.04 Pa.upf
Sn 118.71 Sn.upf
CELL_PARAMETERS angstrom
-0.693 2.708 1.223
-2.769 -1.045 0.745
4.645 -3.370 6.286
ATOMIC_POSITIONS crystal
Al 0.946 0.946 0.892
Pa 0.127 0.127 0.253
Sn 0.777 0.777 0.555
```

Summary:
Its symmetry is I4mm (107).


[2]
DFT (PBE-GGA) results for an optimized crystal structure of PaAlSn. Values from VASP.

```
&SYSTEM
  ibrav = 0, nat = 6, ntyp = 3
/
ATOMIC_SPECIES
Pa 231.04 Pa.upf
Sn 118.71 Sn.upf
Al 26.98 Al.upf
CELL_PARAMETERS angstrom
2.465 2.665 -3.262
-3.726 2.315 2.139
3.849 2.000 4.542
ATOMIC_POSITIONS crystal
Pa 0.500 0.500 0.500
Sn 0.840 0.160 0.750
Sn 0.160 0.840 0.250
Pa 0.500 0.500 0.000
Al 0.830 0.170 0.250
Al 0.170 0.830 0.750
```

Summary:
Its symmetry is Cmcm (63).


[3]
DFT (PBE-GGA) results for an optimized crystal structure of PaAl4Sn. Values from VASP.

```
&SYSTEM
  ibrav = 0, nat = 6, ntyp = 3
/
ATOMIC_SPECIES
Al 26.98 Al.upf
Sn 118.71 Sn.upf
Pa 231.04 Pa.upf
CELL_PARAMETERS angstrom
-2.080 -2.507 -4.459
2.984 -0.312 -4.636
2.048 -4.858 -1.644
ATOMIC_POSITIONS crystal
Al 0.625 0.625 0.126
Sn 0.000 0.000 0.000
Al 0.126 0.625 0.625
Al 0.625 0.625 0.625
Al 0.625 0.126 0.625
Pa 0.250 0.250 0.250
```

Summary:
Its symmetry is F-43m (216).


no.,formation energy (eV per atom)
1,0.3318
2,-0.1559
3,-0.0633